## CaScCd (PBE)

Data for a geometry-optimized CaScCd structure.

a b c (Å): 6.785 6.785 3.644
angles (deg): 74.43 74.43 31.15
Fractional positions:
Cd1 0.681 0.681 0.319
Ca1 0.014 0.014 0.986
Sc1 0.305 0.305 0.695

- DFT total energy: -3.20 eV/atom
- ΔH_f (0 K): -0.11 eV per atom
- Spin magnetization: 0.0001 μB/atom
- Energy above the most stable polymorph in this dataset: 0.023 eV/atom